Density functional theory data (PBE) for a geometry-optimized PPbBr4 structure.

As for the theoretical density: 5.0 Mg/m³. For the formation energy from raw total energies, the calculation gives 0.681 eV/atom.

The structure in extended XYZ format:
```
6
Lattice="0.000 4.521 4.521 4.521 0.000 4.521 4.521 4.521 0.000" Properties=species:S:1:pos:R:3 pbc="T T T"
Pb 0.000 0.000 0.000
Br 5.654 5.654 3.389
Br 3.389 5.654 5.654
P 6.782 6.782 6.782
Br 5.654 3.389 5.654
Br 3.389 3.389 3.389
```